No. 1
An optimized crystal structure of Co2AgMo. Source: Alexandria, functional GGA-PBEsol.

Geometry as POSCAR:
```
Co2AgMo
1.0
0.000 2.979 2.979
2.979 0.000 2.979
2.979 2.979 0.000
Co Ag Mo
2 1 1
direct
0.000 0.000 0.000
0.250 0.250 0.250
0.750 0.750 0.750
0.500 0.500 0.500
```

- offset from the most stable computed form (meV/atom) = 354
- space-group type = F-43m, No. 216
- formation enthalpy at 0 K (meV per atom) = 617.2

No. 2
An optimized crystal structure of LiMo3Os. Source: Alexandria, functional GGA-PBEsol.

Geometry as POSCAR:
```
LiMo3Os
1.0
4.722 0.000 0.000
0.000 4.722 0.000
0.000 0.000 4.722
Li Mo Os
1 3 1
direct
0.000 0.000 0.000
0.000 0.500 0.500
0.500 0.000 0.500
0.500 0.500 0.000
0.500 0.500 0.500
```

- space-group type = Pm-3m, No. 221
- formation enthalpy at 0 K (meV per atom) = 1683.2

No. 3
An optimized crystal structure of LaZrTc2. Source: Alexandria, functional GGA-PBEsol.

Geometry as POSCAR:
```
LaZrTc2
1.0
1.621 0.936 8.385
-1.621 0.936 8.385
0.000 -1.872 8.385
La Zr Tc
1 1 2
direct
0.000 0.000 0.000
0.500 0.500 0.500
0.247 0.247 0.247
0.753 0.753 0.753
```

- offset from the most stable computed form (meV/atom) = 126
- space-group type = R-3m, No. 166
- formation enthalpy at 0 K (meV per atom) = 320.7

no.,total magnetization (μB/cell),energy (eV per cell),V (Å³ per atom)
1,2.53,-28.085,13.22
2,0.00,-41.070,21.06
3,0.00,-35.686,19.08